# 1
Compound: NaHfTaFe
Source: the Open Quantum Materials Database
Functional: GGA-PBE
Structure: relaxed

a b c (Å): 4.5508 4.5508 4.5508
angles (deg): 60.00 60.00 60.00
Sites, in units of the cell vectors:
Na 0.7500 0.7500 0.7500
Hf 0.0000 0.0000 0.0000
Ta 0.5000 0.5000 0.5000
Fe 0.2500 0.2500 0.2500

- Volume: 16.66 Å³ per atom
- ρ: 10.9 g/cm3
- Magnetization: 0.002 μB per formula unit
- Total DFT energy (no corrections): -29.04 eV per cell
- Relative energy among the computed polymorphs: 0.0 kJ/mol of atoms

***

# 2
Compound: KRbHfTe3
Source: the Open Quantum Materials Database
Functional: GGA-PBE
Structure: relaxed

a b c (Å): 17.5110 4.3444 13.7126
angles (deg): 90.00 90.00 90.00
Sites, in units of the cell vectors:
Hf 0.4939 0.2500 0.8505
Hf 0.9939 0.2500 0.6495
Hf 0.5061 0.7500 0.1495
Hf 0.0061 0.7500 0.3505
K 0.7709 0.7500 0.5013
K 0.7291 0.2500 0.0013
K 0.2291 0.2500 0.4987
K 0.2709 0.7500 0.9987
Te 0.5832 0.7500 0.9460
Te 0.9168 0.2500 0.4460
Te 0.6141 0.2500 0.1907
Te 0.0803 0.2500 0.8186
Te 0.5803 0.2500 0.6814
Te 0.8859 0.7500 0.6907
Te 0.3859 0.7500 0.8093
Te 0.0832 0.7500 0.5540
Te 0.1141 0.2500 0.3093
Te 0.9197 0.7500 0.1814
Te 0.4168 0.2500 0.0540
Te 0.4197 0.7500 0.3186
Rb 0.9421 0.7500 0.9196
Rb 0.5579 0.2500 0.4196
Rb 0.0579 0.2500 0.0804
Rb 0.4421 0.7500 0.5804

- Volume: 43.47 Å³ per atom
- ρ: 4.4 g/cm3
- Magnetization: 0.001 μB per formula unit
- Total DFT energy (no corrections): -104.31 eV per cell
- Relative energy among the computed polymorphs: 19.8 kJ/mol of atoms

***

# 3
Compound: KAuNO
Source: the Open Quantum Materials Database
Functional: GGA-PBE
Structure: relaxed

a b c (Å): 4.0107 6.7261 5.1375
angles (deg): 90.00 90.00 90.00
Sites, in units of the cell vectors:
N 0.0000 0.7339 0.2939
N 0.0000 0.2339 0.7061
O 0.5000 0.4253 0.3886
O 0.5000 0.9253 0.6114
Au 0.0000 0.9714 0.5263
Au 0.0000 0.4714 0.4737
K 0.5000 0.1233 0.0608
K 0.5000 0.6233 0.9392

- Volume: 17.32 Å³ per atom
- ρ: 6.4 g/cm3
- Total DFT energy (no corrections): -32.83 eV per cell
- Relative energy among the computed polymorphs: 0.0 kJ/mol of atoms

***

# 4
Compound: Pt2Pb
Source: the Open Quantum Materials Database
Functional: GGA-PBE
Structure: relaxed

a b c (Å): 5.6868 4.1605 9.5461
angles (deg): 90.00 90.00 90.00
Sites, in units of the cell vectors:
Pb 0.1475 0.2500 0.3917
Pb 0.6475 0.2500 0.1084
Pb 0.3525 0.7500 0.8916
Pb 0.8525 0.7500 0.6083
Pt 0.1358 0.2500 0.0684
Pt 0.3578 0.7500 0.2339
Pt 0.6358 0.2500 0.4316
Pt 0.3642 0.7500 0.5684
Pt 0.8642 0.7500 0.9316
Pt 0.8578 0.7500 0.2661
Pt 0.6422 0.2500 0.7661
Pt 0.1422 0.2500 0.7339

- Volume: 18.82 Å³ per atom
- ρ: 17.6 g/cm3
- Magnetization: 0.004 μB per formula unit
- Total DFT energy (no corrections): -63.60 eV per cell